A plane-wave DFT calculation with PBE-GGA was carried out for crystalline LaRe2Mo at its relaxed geometry.

extended XYZ file:
```
4
Lattice="3.2076 0.0000 0.0000 0.0000 4.5710 0.0000 0.0000 0.0000 4.9323" Properties=species:S:1:pos:R:3 pbc="T T T"
La 0.0000 0.0000 0.0000
Re 0.0000 2.2855 2.4662
Re 1.6038 0.0000 2.4662
Mo 1.6038 2.2855 0.0000
```

Properties
**Energy above the lowest structure with this stoichiometry**: 338.4 meV/atom
**E_form**: 0.70 eV per atom
**Space group**: Pmmm (47)
**Calculated volume**: 18.1 Å³/atom
**Total moment**: 0.000 μB per formula unit

***

A plane-wave DFT calculation with PBE-GGA was carried out for crystalline In2TcAs at its relaxed geometry.

extended XYZ file:
```
4
Lattice="3.0522 0.0000 0.0000 0.0000 3.0522 0.0000 0.0000 0.0000 8.6753" Properties=species:S:1:pos:R:3 pbc="T T T"
In 0.0000 0.0000 1.8979
In 0.0000 0.0000 6.7774
Tc 1.5261 1.5261 0.0000
As 1.5261 1.5261 4.3377
```

Properties
**E_form**: 0.40 eV per atom
**Space group**: P4/mmm (123)
**Calculated volume**: 20.2 Å³/atom
**Total moment**: 1.336 μB per formula unit